DFT (PBE+U) results for crystalline Mn2CrO6 at its relaxed geometry.

The structure in POSCAR format:
```
Mn2CrO6
1.0
4.629 0.000 0.000
0.000 5.083 0.000
0.000 -2.541 4.402
Mn O Cr
2 6 1
Cartesian
2.315 0.000 2.935
2.315 2.541 1.467
1.362 1.699 0.000
3.268 -1.692 2.931
1.362 1.692 2.931
1.362 4.233 1.471
3.268 0.842 4.402
3.268 0.850 1.471
2.315 0.000 0.000
```

## Properties
Offset from the most stable computed form ... 0.007 eV per atom
Symmetry ... No. 162